# 1
Here is crystalline Pm3ZnCu4 at its relaxed geometry from the Alexandria database. Energies are from PBE.

Lattice parameters (Å, degrees): 4.043 6.452 13.845 90.00 90.00 90.00
Fractional coordinates of all 16 atoms:
Pm1 0.000 0.000 0.000
Pm2 0.000 0.500 0.189
Pm3 0.000 0.500 0.811
Pm4 0.500 0.000 0.311
Pm5 0.500 0.000 0.689
Pm6 0.500 0.500 0.500
Zn1 0.000 0.000 0.500
Zn2 0.500 0.500 0.000
Cu1 0.000 0.304 0.380
Cu2 0.000 0.304 0.620
Cu3 0.000 0.696 0.380
Cu4 0.000 0.696 0.620
Cu5 0.500 0.196 0.120
Cu6 0.500 0.196 0.880
Cu7 0.500 0.804 0.120
Cu8 0.500 0.804 0.880

Total energy (eV/atom): -4.0361
D(E_F) (states/eV/cell): 16.2

---

# 2
Here is crystalline CrWBr2 at its relaxed geometry from the Alexandria database. Energies are from PBE.

Lattice parameters (Å, degrees): 6.326 6.326 6.326 90.00 90.00 90.00
Fractional coordinates of all 16 atoms:
Cr1 0.000 0.000 0.000
Cr2 0.000 0.500 0.500
Cr3 0.500 0.000 0.500
Cr4 0.500 0.500 0.000
W1 0.000 0.000 0.500
W2 0.000 0.500 0.000
W3 0.500 0.000 0.000
W4 0.500 0.500 0.500
Br1 0.250 0.250 0.250
Br2 0.250 0.250 0.750
Br3 0.250 0.750 0.250
Br4 0.250 0.750 0.750
Br5 0.750 0.250 0.250
Br6 0.750 0.250 0.750
Br7 0.750 0.750 0.250
Br8 0.750 0.750 0.750

ΔE_f (raw) (eV per formula unit): 5.47
Total energy (eV/atom): -5.1131
D(E_F) (states/eV/cell): 25.7

---

# 3
Here is crystalline KTlB2Cl8 at its relaxed geometry from the Alexandria database. Energies are from PBE.

Lattice parameters (Å, degrees): 10.106 10.106 10.106 37.22 37.22 37.22
Fractional coordinates of all 12 atoms:
K1 0.000 0.000 0.000
Tl1 0.500 0.500 0.500
B1 0.243 0.243 0.243
B2 0.757 0.757 0.757
Cl1 0.035 0.502 0.666
Cl2 0.178 0.178 0.178
Cl3 0.334 0.965 0.498
Cl4 0.498 0.334 0.965
Cl5 0.502 0.666 0.035
Cl6 0.666 0.035 0.502
Cl7 0.822 0.822 0.822
Cl8 0.965 0.498 0.334

ΔE_f (raw) (eV per formula unit): -14.00
Total energy (eV/atom): -3.7992
D(E_F) (states/eV/cell): 0.0

---

# 4
Here is crystalline Ba2TmAg3Sn4 at its relaxed geometry from the Alexandria database. Energies are from PBE.

Lattice parameters (Å, degrees): 4.784 4.784 12.618 90.00 90.00 90.00
Fractional coordinates of all 10 atoms:
Ba1 0.000 0.500 0.242
Ba2 0.500 0.000 0.758
Tm1 0.000 0.000 0.500
Ag1 0.000 0.500 0.868
Ag2 0.500 0.000 0.132
Ag3 0.500 0.500 0.500
Sn1 0.000 0.000 0.000
Sn2 0.000 0.500 0.644
Sn3 0.500 0.000 0.356
Sn4 0.500 0.500 0.000

Total energy (eV/atom): -3.7408
D(E_F) (states/eV/cell): 6.3

---

# 5
Here is crystalline Nd4GaAuO at its relaxed geometry from the Alexandria database. Energies are from PBE.

Lattice parameters (Å, degrees): 8.340 8.340 6.916 90.00 90.00 131.03
Fractional coordinates of all 14 atoms:
Nd1 0.000 0.500 0.000
Nd2 0.000 0.500 0.500
Nd3 0.067 0.933 0.750
Nd4 0.430 0.570 0.750
Nd5 0.500 0.000 0.000
Nd6 0.500 0.000 0.500
Nd7 0.570 0.430 0.250
Nd8 0.933 0.067 0.250
Ga1 0.375 0.625 0.250
Ga2 0.625 0.375 0.750
Au1 0.121 0.879 0.250
Au2 0.879 0.121 0.750
O1 0.254 0.746 0.750
O2 0.746 0.254 0.250

ΔE_f (raw) (eV per formula unit): -8.07
Total energy (eV/atom): -5.4861
D(E_F) (states/eV/cell): 4.9

---

# 6
Here is crystalline MgFePbCl6 at its relaxed geometry from the Alexandria database. Energies are from PBE.

Lattice parameters (Å, degrees): 6.333 6.333 12.486 90.00 90.00 120.00
Fractional coordinates of all 18 atoms:
Mg1 0.333 0.667 0.250
Mg2 0.667 0.333 0.750
Fe1 0.333 0.667 0.750
Fe2 0.667 0.333 0.250
Pb1 0.000 0.000 0.000
Pb2 0.000 0.000 0.500
Cl1 0.022 0.382 0.642
Cl2 0.022 0.640 0.858
Cl3 0.360 0.382 0.858
Cl4 0.360 0.978 0.642
Cl5 0.382 0.022 0.142
Cl6 0.382 0.360 0.358
Cl7 0.618 0.640 0.642
Cl8 0.618 0.978 0.858
Cl9 0.640 0.022 0.358
Cl10 0.640 0.618 0.142
Cl11 0.978 0.360 0.142
Cl12 0.978 0.618 0.358

ΔE_f (raw) (eV per formula unit): -9.82
Total energy (eV/atom): -3.8517

---

# 7
Here is crystalline In3SI7 at its relaxed geometry from the Alexandria database. Energies are from PBE.

Lattice parameters (Å, degrees): 8.323 8.323 10.309 126.99 126.99 59.98
Fractional coordinates of all 11 atoms:
In1 0.000 0.000 0.000
In2 0.001 0.465 0.001
In3 0.465 0.001 0.001
S1 0.244 0.244 0.180
I1 0.198 0.699 0.752
I2 0.199 0.199 0.755
I3 0.262 0.765 0.220
I4 0.699 0.198 0.752
I5 0.703 0.703 0.760
I6 0.765 0.262 0.220
I7 0.765 0.765 0.218

ΔE_f (raw) (eV per formula unit): -5.04
Total energy (eV/atom): -2.5663

---

# 8
Here is crystalline NaLiTbAu at its relaxed geometry from the Alexandria database. Energies are from PBE.

Lattice parameters (Å, degrees): 7.109 7.109 7.109 90.00 90.00 90.00
Fractional coordinates of all 16 atoms:
Na1 0.000 0.000 0.000
Na2 0.000 0.500 0.500
Na3 0.500 0.000 0.500
Na4 0.500 0.500 0.000
Li1 0.250 0.250 0.250
Li2 0.250 0.750 0.750
Li3 0.750 0.250 0.750
Li4 0.750 0.750 0.250
Tb1 0.000 0.000 0.500
Tb2 0.000 0.500 0.000
Tb3 0.500 0.000 0.000
Tb4 0.500 0.500 0.500
Au1 0.250 0.250 0.750
Au2 0.250 0.750 0.250
Au3 0.750 0.250 0.250
Au4 0.750 0.750 0.750

Total energy (eV/atom): -3.0128
D(E_F) (states/eV/cell): 12.3